Here is a relaxed structure of CsMn2MoRh from Alexandria. Energies are from PBEsol.

```
data_CsMn2MoRh
_chemical_formula_sum 'Cs1 Mn2 Mo1 Rh1'
_symmetry_space_group_name_H-M 'P 4/m m m'
_symmetry_Int_Tables_number 123
_symmetry_space_group_name_Hall '-P 4 2'
_cell_length_a 4.615
_cell_length_b 4.615
_cell_length_c 4.852
_cell_angle_alpha 90.00
_cell_angle_beta 90.00
_cell_angle_gamma 90.00
loop_
_atom_site_label
_atom_site_fract_x
_atom_site_fract_y
_atom_site_fract_z
_atom_site_occupancy
Cs1 0.000 0.000 0.000 1
Mn1 0.000 0.500 0.000 1
Mo1 0.000 0.000 0.500 1
Rh1 0.500 0.500 0.500 1
```

Results
- E_form: 2992 meV/atom
- Magnetization: 4.79 Bohr magnetons per cell
- Crystal system: tetragonal
- Fermi-level density of states: 1.4427 states/eV/atom

***

Here is a relaxed structure of CsMnSN2 from Alexandria. Energies are from PBEsol.

```
data_CsMnSN2
_chemical_formula_sum 'Cs1 Mn1 S1 N2'
_symmetry_space_group_name_H-M 'P 4/m m m'
_symmetry_Int_Tables_number 123
_symmetry_space_group_name_Hall '-P 4 2'
_cell_length_a 4.112
_cell_length_b 4.112
_cell_length_c 6.517
_cell_angle_alpha 90.00
_cell_angle_beta 90.00
_cell_angle_gamma 90.00
loop_
_atom_site_label
_atom_site_fract_x
_atom_site_fract_y
_atom_site_fract_z
_atom_site_occupancy
Cs1 0.000 0.000 0.000 1
Mn1 0.500 0.500 0.500 1
S1 0.000 0.000 0.500 1
N1 0.000 0.500 0.000 1
```

Results
- Magnetization: 5.82 Bohr magnetons per cell
- E_form (uncorrected): 2356 meV/atom
- Crystal system: tetragonal
- Fermi-level density of states: 0.7149 states/eV/atom

***

Here is a relaxed structure of Cs2NaMnRu from Alexandria. Energies are from PBEsol.

```
data_Cs2NaMnRu
_chemical_formula_sum 'Cs2 Na1 Mn1 Ru1'
_symmetry_space_group_name_H-M 'P 4/m m m'
_symmetry_Int_Tables_number 123
_symmetry_space_group_name_Hall '-P 4 2'
_cell_length_a 6.885
_cell_length_b 6.885
_cell_length_c 4.282
_cell_angle_alpha 90.00
_cell_angle_beta 90.00
_cell_angle_gamma 90.00
loop_
_atom_site_label
_atom_site_fract_x
_atom_site_fract_y
_atom_site_fract_z
_atom_site_occupancy
Cs1 0.000 0.500 0.000 1
Na1 0.000 0.000 0.500 1
Mn1 0.500 0.500 0.000 1
Ru1 0.500 0.500 0.500 1
```

Results
- E_form: 1056 meV/atom
- Magnetization: 2.99 Bohr magnetons per cell
- Crystal system: tetragonal
- Fermi-level density of states: 0.6078 states/eV/atom

***

Here is a relaxed structure of CsNa2MnSi from Alexandria. Energies are from PBEsol.

```
data_CsNa2MnSi
_chemical_formula_sum 'Cs1 Na2 Mn1 Si1'
_symmetry_space_group_name_H-M 'P 4/m m m'
_symmetry_Int_Tables_number 123
_symmetry_space_group_name_Hall '-P 4 2'
_cell_length_a 5.688
_cell_length_b 5.688
_cell_length_c 6.405
_cell_angle_alpha 90.00
_cell_angle_beta 90.00
_cell_angle_gamma 90.00
loop_
_atom_site_label
_atom_site_fract_x
_atom_site_fract_y
_atom_site_fract_z
_atom_site_occupancy
Cs1 0.000 0.000 0.000 1
Na1 0.000 0.500 0.500 1
Mn1 0.000 0.000 0.500 1
Si1 0.500 0.500 0.000 1
```

Results
- Magnetization: 6.18 Bohr magnetons per cell
- E_form (uncorrected): 1262 meV/atom
- Crystal system: tetragonal
- Fermi-level density of states: 1.2197 states/eV/atom

***

Here is a relaxed structure of Cs2MnNbSb from Alexandria. Energies are from PBEsol.

```
data_Cs2MnNbSb
_chemical_formula_sum 'Cs2 Mn1 Nb1 Sb1'
_symmetry_space_group_name_H-M 'P 4/m m m'
_symmetry_Int_Tables_number 123
_symmetry_space_group_name_Hall '-P 4 2'
_cell_length_a 6.905
_cell_length_b 6.905
_cell_length_c 5.338
_cell_angle_alpha 90.00
_cell_angle_beta 90.00
_cell_angle_gamma 90.00
loop_
_atom_site_label
_atom_site_fract_x
_atom_site_fract_y
_atom_site_fract_z
_atom_site_occupancy
Cs1 0.000 0.500 0.000 1
Mn1 0.000 0.000 0.500 1
Nb1 0.500 0.500 0.000 1
Sb1 0.500 0.500 0.500 1
```

Results
- Magnetization: 8.22 Bohr magnetons per cell
- E_form (uncorrected): 1249 meV/atom
- Crystal system: tetragonal
- Fermi-level density of states: 1.1920 states/eV/atom

***

Here is a relaxed structure of CsTaMnNb2 from Alexandria. Energies are from PBEsol.

```
data_CsTaMnNb2
_chemical_formula_sum 'Cs1 Ta1 Mn1 Nb2'
_symmetry_space_group_name_H-M 'P 4/m m m'
_symmetry_Int_Tables_number 123
_symmetry_space_group_name_Hall '-P 4 2'
_cell_length_a 4.995
_cell_length_b 4.995
_cell_length_c 5.178
_cell_angle_alpha 90.00
_cell_angle_beta 90.00
_cell_angle_gamma 90.00
loop_
_atom_site_label
_atom_site_fract_x
_atom_site_fract_y
_atom_site_fract_z
_atom_site_occupancy
Cs1 0.000 0.000 0.000 1
Ta1 0.500 0.500 0.500 1
Mn1 0.500 0.500 0.000 1
Nb1 0.000 0.500 0.500 1
```

Results
- E_form: 1712 meV/atom
- Magnetization: 2.81 Bohr magnetons per cell
- Crystal system: tetragonal
- Fermi-level density of states: 1.2258 states/eV/atom

***

Here is a relaxed structure of CsMnO4 from Alexandria. Energies are from PBEsol.

```
data_CsMnO4
_chemical_formula_sum 'Cs4 Mn4 O16'
_symmetry_space_group_name_H-M 'P n m a'
_symmetry_Int_Tables_number 62
_symmetry_space_group_name_Hall '-P 2ac 2n'
_cell_length_a 9.966
_cell_length_b 5.667
_cell_length_c 7.882
_cell_angle_alpha 90.00
_cell_angle_beta 90.00
_cell_angle_gamma 90.00
loop_
_atom_site_label
_atom_site_fract_x
_atom_site_fract_y
_atom_site_fract_z
_atom_site_occupancy
Cs1 0.192 0.250 0.153 1
Mn1 0.047 0.250 0.710 1
O1 0.078 0.019 0.823 1
O2 0.108 0.750 0.343 1
O3 0.142 0.250 0.547 1
```

Results
- Magnetization: 0.00 Bohr magnetons per cell
- E_form (uncorrected): -1528 meV/atom
- Crystal system: orthorhombic
- Fermi-level density of states: 0.0000 states/eV/atom

***

Here is a relaxed structure of Cs2MnO from Alexandria. Energies are from PBEsol.

```
data_Cs2MnO
_chemical_formula_sum 'Cs8 Mn4 O4'
_symmetry_space_group_name_H-M 'F m -3 m'
_symmetry_Int_Tables_number 225
_symmetry_space_group_name_Hall '-F 4 2 3'
_cell_length_a 7.802
_cell_length_b 7.802
_cell_length_c 7.802
_cell_angle_alpha 90.00
_cell_angle_beta 90.00
_cell_angle_gamma 90.00
loop_
_atom_site_label
_atom_site_fract_x
_atom_site_fract_y
_atom_site_fract_z
_atom_site_occupancy
Cs1 0.250 0.250 0.250 1
Mn1 0.000 0.000 0.000 1
O1 0.000 0.000 0.500 1
```

Results
- Magnetization: 20.00 Bohr magnetons per cell
- E_form (uncorrected): 520 meV/atom
- Crystal system: cubic
- Fermi-level density of states: 0.5857 states/eV/atom

***

Here is a relaxed structure of Cs2MnP4O12 from Alexandria. Energies are from PBEsol.

```
data_Cs2MnP4O12
_chemical_formula_sum 'Cs8 Mn4 P16 O48'
_symmetry_space_group_name_H-M 'P 1 21/c 1'
_symmetry_Int_Tables_number 14
_symmetry_space_group_name_Hall '-P 2ybc'
_cell_length_a 7.961
_cell_length_b 13.251
_cell_length_c 12.552
_cell_angle_alpha 90.00
_cell_angle_beta 116.02
_cell_angle_gamma 90.00
loop_
_atom_site_label
_atom_site_fract_x
_atom_site_fract_y
_atom_site_fract_z
_atom_site_occupancy
Cs1 0.061 0.122 0.138 1
Cs2 0.430 0.127 0.842 1
Mn1 0.247 0.145 0.487 1
P1 0.082 0.591 0.913 1
P2 0.107 0.686 0.701 1
P3 0.428 0.675 0.332 1
P4 0.448 0.573 0.122 1
O1 0.063 0.247 0.348 1
O2 0.086 0.019 0.384 1
O3 0.096 0.136 0.594 1
O4 0.114 0.597 0.632 1
O5 0.153 0.660 0.836 1
O6 0.242 0.617 0.043 1
O7 0.293 0.749 0.228 1
O8 0.334 0.625 0.398 1
O9 0.389 0.229 0.101 1
O10 0.412 0.143 0.389 1
O11 0.454 0.038 0.604 1
O12 0.463 0.587 0.253 1
```

Results
- Magnetization: 20.00 Bohr magnetons per cell
- E_form (uncorrected): -2168 meV/atom
- Crystal system: monoclinic
- Fermi-level density of states: 0.0000 states/eV/atom

***

Here is a relaxed structure of CsMn2P6O18 from Alexandria. Energies are from PBEsol.

```
data_CsMn2P6O18
_chemical_formula_sum 'Cs2 Mn4 P12 O36'
_symmetry_space_group_name_H-M 'C 1 2/m 1'
_symmetry_Int_Tables_number 12
_symmetry_space_group_name_Hall '-C 2y'
_cell_length_a 12.832
_cell_length_b 12.767
_cell_length_c 5.185
_cell_angle_alpha 90.00
_cell_angle_beta 111.96
_cell_angle_gamma 90.00
loop_
_atom_site_label
_atom_site_fract_x
_atom_site_fract_y
_atom_site_fract_z
_atom_site_occupancy
Cs1 0.000 0.000 0.000 1
Mn1 0.250 0.250 0.500 1
P1 0.000 0.252 0.500 1
P2 0.167 0.382 0.940 1
O1 0.049 0.328 0.761 1
O2 0.094 0.191 0.462 1
O3 0.129 0.500 0.855 1
O4 0.185 0.367 0.241 1
O5 0.243 0.149 0.162 1
```

Results
- Magnetization: 18.00 Bohr magnetons per cell
- E_form (uncorrected): -2090 meV/atom
- Crystal system: monoclinic
- Fermi-level density of states: 0.1748 states/eV/atom

***

Here is a relaxed structure of Cs2ZrMnP3O12 from Alexandria. Energies are from PBEsol.

```
data_Cs2ZrMnP3O12
_chemical_formula_sum 'Cs8 Zr4 Mn4 P12 O48'
_symmetry_space_group_name_H-M 'P 21 3'
_symmetry_Int_Tables_number 198
_symmetry_space_group_name_Hall 'P 2ac 2ab 3'
_cell_length_a 10.184
_cell_length_b 10.184
_cell_length_c 10.184
_cell_angle_alpha 90.00
_cell_angle_beta 90.00
_cell_angle_gamma 90.00
loop_
_atom_site_label
_atom_site_fract_x
_atom_site_fract_y
_atom_site_fract_z
_atom_site_occupancy
Cs1 0.042 0.042 0.042 1
Cs2 0.181 0.319 0.681 1
Zr1 0.164 0.664 0.836 1
Mn1 0.105 0.895 0.395 1
P1 0.018 0.202 0.369 1
O1 0.001 0.059 0.726 1
O2 0.014 0.055 0.334 1
O3 0.048 0.781 0.241 1
O4 0.108 0.840 0.752 1
```

Results
- Magnetization: 16.00 Bohr magnetons per cell
- E_form (uncorrected): -2431 meV/atom
- Crystal system: cubic
- Fermi-level density of states: 0.1191 states/eV/atom

***

Here is a relaxed structure of CsMnPb3 from Alexandria. Energies are from PBEsol.

```
data_CsMnPb3
_chemical_formula_sum 'Cs1 Mn1 Pb3'
_symmetry_space_group_name_H-M 'P m -3 m'
_symmetry_Int_Tables_number 221
_symmetry_space_group_name_Hall '-P 4 2 3'
_cell_length_a 6.074
_cell_length_b 6.074
_cell_length_c 6.074
_cell_angle_alpha 90.00
_cell_angle_beta 90.00
_cell_angle_gamma 90.00
loop_
_atom_site_label
_atom_site_fract_x
_atom_site_fract_y
_atom_site_fract_z
_atom_site_occupancy
Cs1 0.000 0.000 0.000 1
Mn1 0.500 0.500 0.500 1
Pb1 0.000 0.000 0.500 1
```

Results
- E_form: 1809 meV/atom
- Magnetization: 4.57 Bohr magnetons per cell
- Crystal system: cubic
- Fermi-level density of states: 1.3097 states/eV/atom